# 1
BiMoAu: relaxed, GGA-PBE.

Cell: 6.6799 6.6799 6.6799 Å, 90.00 90.00 90.00°
Closest atoms and distances in Å follow each position.
Fractional coordinates of all 12 atoms:
Bi 0.0000 0.0000 0.0000  4 Au 2.89
Bi 0.0000 0.5000 0.5000  4 Au 2.89
Bi 0.5000 0.0000 0.5000  4 Au 2.89
Bi 0.5000 0.5000 0.0000  4 Au 2.89
Mo 0.0000 0.0000 0.5000  4 Au 2.89
Mo 0.0000 0.5000 0.0000  4 Au 2.89
Mo 0.5000 0.0000 0.0000  4 Au 2.89
Mo 0.5000 0.5000 0.5000  4 Au 2.89
Au 0.2500 0.2500 0.2500  4 Mo 2.89, 4 Bi 2.89
Au 0.2500 0.7500 0.7500  4 Mo 2.89, 4 Bi 2.89
Au 0.7500 0.2500 0.7500  4 Mo 2.89, 4 Bi 2.89
Au 0.7500 0.7500 0.2500  4 Mo 2.89, 4 Bi 2.89

The crystal system is cubic. The value obtained for the theoretical density is 11.18 g cm⁻³. The uncorrected energy comes out at -62.78 eV/cell. As for the symmetry: No. 216.



# 2
TaFeHgSb: relaxed, GGA-PBE.

Cell: 6.5931 6.5931 6.5931 Å, 90.00 90.00 90.00°
Closest atoms and distances in Å follow each position.
Fractional coordinates of all 16 atoms:
Ta 0.0000 0.0000 0.0000  4 Hg 2.85, 4 Sb 2.85
Ta 0.0000 0.5000 0.5000  4 Hg 2.85, 4 Sb 2.85
Ta 0.5000 0.0000 0.5000  4 Hg 2.85, 4 Sb 2.85
Ta 0.5000 0.5000 0.0000  4 Hg 2.85, 4 Sb 2.85
Fe 0.0000 0.0000 0.5000  4 Hg 2.85, 4 Sb 2.85
Fe 0.0000 0.5000 0.0000  4 Hg 2.85, 4 Sb 2.85
Fe 0.5000 0.0000 0.0000  4 Hg 2.85, 4 Sb 2.85
Fe 0.5000 0.5000 0.5000  4 Hg 2.85, 4 Sb 2.85
Hg 0.2500 0.2500 0.7500  4 Ta 2.85, 4 Fe 2.85
Hg 0.2500 0.7500 0.2500  4 Ta 2.85, 4 Fe 2.85
Hg 0.7500 0.2500 0.2500  4 Ta 2.85, 4 Fe 2.85
Hg 0.7500 0.7500 0.7500  4 Ta 2.85, 4 Fe 2.85
Sb 0.2500 0.2500 0.2500  4 Ta 2.85, 4 Fe 2.85
Sb 0.2500 0.7500 0.7500  4 Ta 2.85, 4 Fe 2.85
Sb 0.7500 0.2500 0.7500  4 Ta 2.85, 4 Fe 2.85
Sb 0.7500 0.7500 0.2500  4 Ta 2.85, 4 Fe 2.85

The crystal system is cubic. The value obtained for the theoretical density is 12.96 g cm⁻³. As for the symmetry: No. 216. Its energy above the most stable polymorph in this dataset is 0.0 kJ/mol of atoms.



# 3
UReTc: relaxed, GGA-PBE.

Cell: 6.1950 6.1950 6.1950 Å, 90.00 90.00 90.00°
Closest atoms and distances in Å follow each position.
Fractional coordinates of all 12 atoms:
U 0.0000 0.0000 0.0000  4 Tc 2.68, 4 Re 2.68
U 0.0000 0.5000 0.5000  4 Tc 2.68, 4 Re 2.68
U 0.5000 0.0000 0.5000  4 Tc 2.68, 4 Re 2.68
U 0.5000 0.5000 0.0000  4 Tc 2.68, 4 Re 2.68
Re 0.2500 0.2500 0.7500  4 U 2.68
Re 0.2500 0.7500 0.2500  4 U 2.68
Re 0.7500 0.2500 0.2500  4 U 2.68
Re 0.7500 0.7500 0.7500  4 U 2.68
Tc 0.2500 0.2500 0.2500  4 U 2.68
Tc 0.2500 0.7500 0.7500  4 U 2.68
Tc 0.7500 0.2500 0.7500  4 U 2.68
Tc 0.7500 0.7500 0.2500  4 U 2.68

As for the energy of formation from the pure elements: 0.78 eV/atom. The crystal system is cubic. The value obtained for the theoretical density is 14.59 g cm⁻³. As for the symmetry: No. 216.



# 4
Be2CuPb: relaxed, GGA-PBE.

Cell: 6.2698 6.2698 6.2698 Å, 90.00 90.00 90.00°
Closest atoms and distances in Å follow each position.
Fractional coordinates of all 16 atoms:
Be 0.0000 0.0000 0.0000  4 Cu 2.71, 4 Be 2.71
Be 0.0000 0.5000 0.5000  4 Cu 2.71, 4 Be 2.71
Be 0.2500 0.2500 0.2500  4 Pb 2.71, 4 Be 2.71
Be 0.2500 0.7500 0.7500  4 Pb 2.71, 4 Be 2.71
Be 0.5000 0.0000 0.5000  4 Cu 2.71, 4 Be 2.71
Be 0.5000 0.5000 0.0000  4 Cu 2.71, 4 Be 2.71
Be 0.7500 0.2500 0.7500  4 Pb 2.71, 4 Be 2.71
Be 0.7500 0.7500 0.2500  4 Pb 2.71, 4 Be 2.71
Cu 0.2500 0.2500 0.7500  4 Pb 2.71, 4 Be 2.71
Cu 0.2500 0.7500 0.2500  4 Pb 2.71, 4 Be 2.71
Cu 0.7500 0.2500 0.2500  4 Pb 2.71, 4 Be 2.71
Cu 0.7500 0.7500 0.7500  4 Be 2.71, 4 Pb 2.71
Pb 0.0000 0.0000 0.5000  4 Be 2.71, 4 Cu 2.71
Pb 0.0000 0.5000 0.0000  4 Be 2.71, 4 Cu 2.71
Pb 0.5000 0.0000 0.0000  4 Be 2.71, 4 Cu 2.71
Pb 0.5000 0.5000 0.5000  4 Be 2.71, 4 Cu 2.71

The crystal system is cubic. The value obtained for the theoretical density is 7.78 g cm⁻³. The uncorrected energy comes out at -47.33 eV/cell. As for the symmetry: No. 216.



theoretical density of number 4 (Be2CuPb)? 7.78 g cm⁻³